The following is a DFT calculation (PBE) of a geometry-optimized NdDyTmAg structure.

Structure (POSCAR):
```
NdDyTmAg
1.0
3.6264 0.0000 0.0000
0.0000 3.6264 0.0000
0.0000 0.0000 8.6167
Nd Dy Tm Ag
1 1 1 1
direct
0.0000 0.0000 0.0000
0.5000 0.5000 0.7055
0.5000 0.5000 0.2917
0.0000 0.0000 0.4917
```

## Properties
For the formation energy, the calculation gives -135 meV/atom. The calculation puts the total energy at -4.31 eV per atom. The calculation puts the density of states at the Fermi level at 1.41 states/eV per atom. The energy relative to the lowest polymorph listed for this composition is 0 meV/atom.

***

The following is a DFT calculation (PBE) of a geometry-optimized Er8Cd2Ni structure.

Structure (POSCAR):
```
Er8Cd2Ni
1.0
8.6883 -2.6511 0.0000
8.6883 2.6511 0.0000
-2.2625 0.0000 6.4026
Er Cd Ni
8 2 1
direct
0.0204 0.0204 0.2824
0.1991 0.1991 0.7856
0.3516 0.3516 0.5503
0.4090 0.4090 0.0769
0.5910 0.5910 0.9231
0.6484 0.6484 0.4497
0.8009 0.8009 0.2144
0.9796 0.9796 0.7176
0.1840 0.1840 0.2117
0.8160 0.8160 0.7883
0.5000 0.5000 0.5000
```

## Properties
For the formation energy, the calculation gives -145 meV/atom. The calculation puts the total energy at -4.16 eV per atom. The calculation puts the density of states at the Fermi level at 0.90 states/eV per atom.